(1)
Here is a relaxed structure of Ta2Mo2As from Alexandria. Energies are from GGA-PBE.

Cell: 7.465 7.465 3.283 Å, 90.00 90.00 90.00°
Positions (direct):
Ta 0.148 0.352 0.000
Ta 0.352 0.852 0.000
Ta 0.648 0.148 0.000
Ta 0.852 0.648 0.000
Mo 0.146 0.646 0.500
Mo 0.354 0.146 0.500
Mo 0.646 0.854 0.500
Mo 0.854 0.354 0.500
As 0.000 0.000 0.000
As 0.500 0.500 0.000

Results
calculated formation energy = 607 meV per atom
E_tot = -9.3959 eV per atom
distance to the lowest polymorph of the same formula = 0.172 eV/atom

=====

(2)
Here is a relaxed structure of SmTl2PbSe4 from Alexandria. Energies are from GGA-PBE.

Cell: 7.627 4.297 7.807 Å, 90.00 109.29 90.00°
Positions (direct):
Sm 0.000 0.000 0.000
Tl 0.000 0.500 0.500
Tl 0.500 0.000 0.500
Pb 0.500 0.500 0.000
Se 0.228 0.500 0.219
Se 0.240 0.000 0.769
Se 0.760 0.000 0.231
Se 0.772 0.500 0.781

Results
E_tot = -4.2566 eV per atom

=====

(3)
Here is a relaxed structure of Hf2Zr4Cd from Alexandria. Energies are from GGA-PBE.

Cell: 11.171 11.171 3.174 Å, 90.00 90.00 156.13°
Positions (direct):
Hf 0.208 0.792 0.000
Hf 0.792 0.208 0.000
Zr 0.072 0.928 0.000
Zr 0.351 0.649 0.500
Zr 0.649 0.351 0.500
Zr 0.928 0.072 0.000
Cd 0.500 0.500 0.500

Results
calculated formation energy = 26 meV per atom
E_tot = -7.8329 eV per atom

=====

(4)
Here is a relaxed structure of V2HRh from Alexandria. Energies are from GGA-PBE.

Cell: 7.368 4.494 5.297 Å, 90.00 94.63 90.00°
Positions (direct):
V 0.080 0.244 0.338
V 0.080 0.256 0.838
V 0.278 0.691 0.503
V 0.278 0.809 0.003
V 0.722 0.191 0.997
V 0.722 0.309 0.497
V 0.920 0.744 0.162
V 0.920 0.756 0.662
H 0.140 0.631 0.759
H 0.140 0.869 0.259
H 0.860 0.131 0.741
H 0.860 0.369 0.241
Rh 0.404 0.188 0.660
Rh 0.404 0.312 0.160
Rh 0.596 0.688 0.840
Rh 0.596 0.812 0.340

Results
E_tot = -7.4495 eV per atom
distance to the lowest polymorph of the same formula = 0.002 eV/atom

=====

(5)
Here is a relaxed structure of PtRh2Au from Alexandria. Energies are from GGA-PBE.

Cell: 2.798 3.866 5.743 Å, 90.00 90.00 90.00°
Positions (direct):
Pt 0.000 0.000 0.000
Rh 0.000 0.000 0.531
Rh 0.500 0.500 0.756
Au 0.500 0.500 0.266

Results
calculated formation energy = 102 meV per atom
E_tot = -5.9029 eV per atom
distance to the lowest polymorph of the same formula = 0.044 eV/atom

=====

(6)
Here is a relaxed structure of Cs2Tl3Bi from Alexandria. Energies are from GGA-PBE.

Cell: 8.851 8.851 8.901 Å, 104.54 104.54 55.13°
Positions (direct):
Cs 0.159 0.163 0.081
Cs 0.163 0.159 0.581
Cs 0.837 0.841 0.419
Cs 0.841 0.837 0.919
Tl 0.300 0.700 0.750
Tl 0.379 0.381 0.440
Tl 0.381 0.379 0.940
Tl 0.619 0.621 0.060
Tl 0.621 0.619 0.560
Tl 0.700 0.300 0.250
Bi 0.299 0.701 0.250
Bi 0.701 0.299 0.750

Results
calculated formation energy = -205 meV per atom
E_tot = -2.3198 eV per atom

=====

(7)
Here is a relaxed structure of Cs2HgBiF6 from Alexandria. Energies are from GGA-PBE.

Cell: 6.914 6.914 6.914 Å, 60.00 60.00 60.00°
Positions (direct):
Cs 0.250 0.250 0.250
Cs 0.750 0.750 0.750
Hg 0.000 0.000 0.000
Bi 0.500 0.500 0.500
F 0.268 0.268 0.732
F 0.268 0.732 0.268
F 0.268 0.732 0.732
F 0.732 0.268 0.268
F 0.732 0.268 0.732
F 0.732 0.732 0.268

Results
E_tot = -3.9743 eV per atom

=====

(8)
Here is a relaxed structure of NaRh2N2 from Alexandria. Energies are from GGA-PBE.

Cell: 7.340 7.340 3.288 Å, 90.00 90.00 90.00°
Positions (direct):
Na 0.000 0.000 0.000
Na 0.500 0.500 0.000
Rh 0.124 0.376 0.500
Rh 0.376 0.876 0.500
Rh 0.624 0.124 0.500
Rh 0.876 0.624 0.500
N 0.199 0.301 0.000
N 0.301 0.801 0.000
N 0.699 0.199 0.000
N 0.801 0.699 0.000

Results
E_tot = -5.9809 eV per atom
distance to the lowest polymorph of the same formula = 0.110 eV/atom